The following is a DFT calculation (PBE) of an optimized crystal structure of Tb4BiAu.

Computed properties:
DFT formation energy ... -0.35 eV/atom
Raw total energy ... -55.58 eV/cell

Cell: 7.3356 7.3627 7.2850 Å, 90.00 91.06 90.00°
Last column: nearest neighbours and their distance in Å.
Fractional positions:
Tb: 0.1388 0.1653 0.1716  2 Au 2.89-2.94, 1 Bi 3.19
Tb: 0.1388 0.3347 0.6716  2 Au 2.89-2.94, 1 Bi 3.19
Tb: 0.3356 0.6414 0.1351  1 Au 2.83, 2 Bi 3.07-3.08
Tb: 0.3356 0.8586 0.6351  1 Au 2.83, 2 Bi 3.07-3.08
Tb: 0.6644 0.1414 0.3649  1 Au 2.83, 2 Bi 3.07-3.08
Tb: 0.6644 0.3586 0.8649  1 Au 2.83, 2 Bi 3.07-3.08
Tb: 0.8612 0.6653 0.3284  2 Au 2.89-2.94, 1 Bi 3.19
Tb: 0.8612 0.8347 0.8284  2 Au 2.89-2.94, 1 Bi 3.19
Bi: 0.5000 0.0000 0.0000  6 Tb 3.07-3.19
Bi: 0.5000 0.5000 0.5000  6 Tb 3.07-3.19
Au: 0.0000 0.0000 0.5000  6 Tb 2.83-2.94
Au: 0.0000 0.5000 0.0000  6 Tb 2.83-2.94